Record 1
Compound: SmSbPt
Source: OQMD via LeMat-Bulk
Functional: GGA-PBE
Structure: relaxed

```
data_SmSbPt
_space_group_name_H-M_alt 'F -4 3 m'
_space_group_IT_number 216
_space_group_name_Hall 'F -4 2 3'
_cell_length_a 6.6940
_cell_length_b 6.6940
_cell_length_c 6.6940
_cell_angle_alpha 90.00
_cell_angle_beta 90.00
_cell_angle_gamma 90.00
loop_
_atom_site_label
_atom_site_fract_x
_atom_site_fract_y
_atom_site_fract_z
Sm1 0.0000 0.0000 0.0000
Sb1 0.0000 0.0000 0.5000
Pt1 0.2500 0.2500 0.7500
```

Values from the calculation:
- Calculated total energy: -6.157 eV per atom
- M_tot: 0.00 μB/cell
- Crystal system: cubic

***

Record 2
Compound: Pr2Dy2SiI5
Source: OQMD via LeMat-Bulk
Functional: GGA-PBE
Structure: relaxed

```
data_Pr2Dy2SiI5
_space_group_name_H-M_alt 'C 1 2/m 1'
_space_group_IT_number 12
_space_group_name_Hall '-C 2y'
_cell_length_a 19.4055
_cell_length_b 4.2427
_cell_length_c 8.8774
_cell_angle_alpha 90.00
_cell_angle_beta 102.74
_cell_angle_gamma 90.00
loop_
_atom_site_label
_atom_site_fract_x
_atom_site_fract_y
_atom_site_fract_z
Pr1 0.1494 0.0000 0.0753
Dy1 0.0000 0.5000 0.2089
Si1 0.0000 0.0000 0.0000
I1 0.0000 0.0000 0.5000
I2 0.1622 0.5000 0.3484
I3 0.1669 0.5000 0.8118
```

Values from the calculation:
- Offset from the most stable computed form: 8.5 meV/atom
- M_tot: 0.04 μB/cell
- Crystal system: monoclinic

***

Record 3
Compound: SbTe2Mo2
Source: OQMD via LeMat-Bulk
Functional: GGA-PBE
Structure: relaxed

```
data_SbTe2Mo2
_space_group_name_H-M_alt 'P 1 21/m 1'
_space_group_IT_number 11
_space_group_name_Hall '-P 2yb'
_cell_length_a 6.9885
_cell_length_b 3.4323
_cell_length_c 9.6324
_cell_angle_alpha 90.00
_cell_angle_beta 103.37
_cell_angle_gamma 90.00
loop_
_atom_site_label
_atom_site_fract_x
_atom_site_fract_y
_atom_site_fract_z
Sb1 0.0109 0.2500 0.3509
Te1 0.2736 0.2500 0.9814
Te2 0.4939 0.2500 0.7068
Mo1 0.1056 0.7500 0.1328
Mo2 0.3189 0.7500 0.5063
```

Values from the calculation:
- Calculated total energy: -6.471 eV per atom
- M_tot: 0.01 μB/cell
- Crystal system: monoclinic

***

Record 4
Compound: LiYPdPb
Source: OQMD via LeMat-Bulk
Functional: GGA-PBE
Structure: relaxed

```
data_LiYPdPb
_space_group_name_H-M_alt 'F -4 3 m'
_space_group_IT_number 216
_space_group_name_Hall 'F -4 2 3'
_cell_length_a 7.0157
_cell_length_b 7.0157
_cell_length_c 7.0157
_cell_angle_alpha 90.00
_cell_angle_beta 90.00
_cell_angle_gamma 90.00
loop_
_atom_site_label
_atom_site_fract_x
_atom_site_fract_y
_atom_site_fract_z
Li1 0.0000 0.0000 0.0000
Y1 0.0000 0.0000 0.5000
Pd1 0.2500 0.2500 0.2500
Pb1 0.2500 0.2500 0.7500
```

Values from the calculation:
- Offset from the most stable computed form: 151.0 meV/atom
- M_tot: 0.00 μB/cell
- Crystal system: cubic

***

Record 5
Compound: P2PtO7
Source: OQMD via LeMat-Bulk
Functional: GGA-PBE
Structure: relaxed

```
data_P2PtO7
_space_group_name_H-M_alt 'P 1 21/c 1'
_space_group_IT_number 14
_space_group_name_Hall '-P 2ybc'
_cell_length_a 7.0486
_cell_length_b 7.8521
_cell_length_c 9.4098
_cell_angle_alpha 90.00
_cell_angle_beta 113.15
_cell_angle_gamma 90.00
loop_
_atom_site_label
_atom_site_fract_x
_atom_site_fract_y
_atom_site_fract_z
P1 0.0663 0.1774 0.3195
P2 0.3510 0.7464 0.2101
Pt1 0.0000 0.0000 0.0000
Pt2 0.5000 0.0000 0.5000
O1 0.0536 0.1910 0.1529
O2 0.1311 0.1431 0.8858
O3 0.1538 0.6283 0.1799
O4 0.1929 0.0284 0.4168
O5 0.2849 0.5988 0.6027
O6 0.4502 0.7191 0.8842
O7 0.4895 0.1375 0.3195
```

Values from the calculation:
- Offset from the most stable computed form: 0.0 meV/atom
- M_tot: 0.02 μB/cell
- Crystal system: monoclinic

***

Record 6
Compound: BaZrGe2
Source: OQMD via LeMat-Bulk
Functional: GGA-PBE
Structure: relaxed

```
data_BaZrGe2
_space_group_name_H-M_alt 'F -4 3 m'
_space_group_IT_number 216
_space_group_name_Hall 'F -4 2 3'
_cell_length_a 7.2643
_cell_length_b 7.2643
_cell_length_c 7.2643
_cell_angle_alpha 90.00
_cell_angle_beta 90.00
_cell_angle_gamma 90.00
loop_
_atom_site_label
_atom_site_fract_x
_atom_site_fract_y
_atom_site_fract_z
Ba1 0.0000 0.0000 0.0000
Zr1 0.2500 0.2500 0.2500
Ge1 0.0000 0.0000 0.5000
Ge2 0.2500 0.2500 0.7500
```

Values from the calculation:
- Calculated total energy: -4.578 eV per atom
- M_tot: 0.46 μB/cell
- Crystal system: cubic

***

Record 7
Compound: TaGaH
Source: OQMD via LeMat-Bulk
Functional: GGA-PBE
Structure: relaxed

```
data_TaGaH
_space_group_name_H-M_alt 'C 1 2/m 1'
_space_group_IT_number 12
_space_group_name_Hall '-C 2y'
_cell_length_a 9.8893
_cell_length_b 3.3833
_cell_length_c 5.1319
_cell_angle_alpha 90.00
_cell_angle_beta 120.75
_cell_angle_gamma 90.00
loop_
_atom_site_label
_atom_site_fract_x
_atom_site_fract_y
_atom_site_fract_z
Ta1 0.2073 0.0000 0.2244
Ga1 0.0137 0.5000 0.7601
H1 0.1880 0.0000 0.5811
```

Values from the calculation:
- Calculated total energy: -6.243 eV per atom
- M_tot: 0.00 μB/cell
- Crystal system: monoclinic

***

Record 8
Compound: RbGdTh
Source: OQMD via LeMat-Bulk
Functional: GGA-PBE
Structure: relaxed

```
data_RbGdTh
_space_group_name_H-M_alt 'F -4 3 m'
_space_group_IT_number 216
_space_group_name_Hall 'F -4 2 3'
_cell_length_a 8.4700
_cell_length_b 8.4700
_cell_length_c 8.4700
_cell_angle_alpha 90.00
_cell_angle_beta 90.00
_cell_angle_gamma 90.00
loop_
_atom_site_label
_atom_site_fract_x
_atom_site_fract_y
_atom_site_fract_z
Rb1 0.0000 0.0000 0.0000
Gd1 0.0000 0.0000 0.5000
Th1 0.2500 0.2500 0.7500
```

Values from the calculation:
- Calculated total energy: -2.825 eV per atom
- M_tot: 14.79 μB/cell
- Crystal system: cubic

***

Record 9
Compound: Cd2SbAu
Source: OQMD via LeMat-Bulk
Functional: GGA-PBE
Structure: relaxed

```
data_Cd2SbAu
_space_group_name_H-M_alt 'F -4 3 m'
_space_group_IT_number 216
_space_group_name_Hall 'F -4 2 3'
_cell_length_a 7.1050
_cell_length_b 7.1050
_cell_length_c 7.1050
_cell_angle_alpha 90.00
_cell_angle_beta 90.00
_cell_angle_gamma 90.00
loop_
_atom_site_label
_atom_site_fract_x
_atom_site_fract_y
_atom_site_fract_z
Cd1 0.0000 0.0000 0.0000
Cd2 0.2500 0.2500 0.2500
Sb1 0.0000 0.0000 0.5000
Au1 0.2500 0.2500 0.7500
```

Values from the calculation:
- Calculated total energy: -2.213 eV per atom
- Crystal system: cubic

***

Record 10
Compound: Ta2Be2Co
Source: OQMD via LeMat-Bulk
Functional: GGA-PBE
Structure: relaxed

```
data_Ta2Be2Co
_space_group_name_H-M_alt 'P 4/m b m'
_space_group_IT_number 127
_space_group_name_Hall '-P 4 2ab'
_cell_length_a 5.9718
_cell_length_b 5.9718
_cell_length_c 3.4598
_cell_angle_alpha 90.00
_cell_angle_beta 90.00
_cell_angle_gamma 90.00
loop_
_atom_site_label
_atom_site_fract_x
_atom_site_fract_y
_atom_site_fract_z
Ta1 0.1747 0.3253 0.0000
Be1 0.1254 0.6254 0.5000
Co1 0.0000 0.0000 0.5000
```

Values from the calculation:
- Calculated total energy: -7.903 eV per atom
- M_tot: 0.03 μB/cell
- Crystal system: tetragonal

***

Record 11
Compound: LiNbTl2S4
Source: OQMD via LeMat-Bulk
Functional: GGA-PBE
Structure: relaxed

```
data_LiNbTl2S4
_space_group_name_H-M_alt 'P -1'
_space_group_IT_number 2
_space_group_name_Hall '-P 1'
_cell_length_a 6.8208
_cell_length_b 6.9416
_cell_length_c 9.3068
_cell_angle_alpha 95.54
_cell_angle_beta 94.08
_cell_angle_gamma 94.95
loop_
_atom_site_label
_atom_site_fract_x
_atom_site_fract_y
_atom_site_fract_z
Li1 0.0958 0.3093 0.4341
Nb1 0.2889 0.7078 0.7640
Tl1 0.2201 0.2394 0.9967
Tl2 0.3707 0.7946 0.3574
S1 0.0796 0.4357 0.6869
S2 0.1500 0.9586 0.6694
S3 0.3222 0.7512 0.0115
S4 0.4049 0.3103 0.3222
```

Values from the calculation:
- Calculated total energy: -4.958 eV per atom
- M_tot: 0.00 μB/cell
- Crystal system: triclinic

***

Number 1: calculated volume 300.0 Å³/cell. Number 2: calculated volume 712.9 Å³/cell. Number 3: calculated volume 224.8 Å³/cell. Number 4: calculated volume 345.3 Å³/cell. Number 5: calculated volume 478.9 Å³/cell. Number 6: calculated volume 383.3 Å³/cell. Number 7: calculated volume 147.6 Å³/cell. Number 8: calculated volume 607.6 Å³/cell. Number 9: calculated volume 358.7 Å³/cell. Number 10: calculated volume 123.4 Å³/cell. Number 11: calculated volume 435.6 Å³/cell.